DFT (PBE with a Hubbard U) results for a relaxed MnTl2RuO crystal.

a b c (Å): 5.0700 3.7465 5.0700
angles (deg): 90.00 90.00 90.00
Last column: magnetic moment on the atom in μB.
Atoms (fractional coordinates):
Ru  0.5000  0.5000  0.5000  0.75
Tl  0.5000  0.0000  0.0000  -0.01
Tl  0.0000  0.0000  0.5000  0.00
O  0.0000  0.0000  0.0000  0.04
Mn  0.0000  0.5000  0.0000  4.37

Values from the calculation:
space-group type	P4/mmm, No. 123
V	96.30	Å³ per cell
spin magnetization	5.291	Bohr magnetons per cell
calculated total energy	-5.157	eV per atom